# 1
DFT (GGA-PBE) results for an optimized crystal structure of Ni3AuN.

a = 6.2087 Å, b = 6.2087 Å, c = 3.7592 Å
α = 90.00°, β = 90.00°, γ = 127.86°
Atoms (fractional coordinates):
Ni: 0.0000 0.5000 0.5000
Ni: 0.1285 0.8715 0.0000
Ni: 0.2298 0.2298 0.5000
Ni: 0.5000 0.0000 0.5000
Ni: 0.7702 0.7702 0.5000
Ni: 0.8715 0.1285 0.0000
Au: 0.3752 0.6248 0.0000
Au: 0.6248 0.3752 0.0000
N: 0.1314 0.8686 0.5000
N: 0.8686 0.1314 0.5000

Output
For the total energy, the calculation gives -5.766 eV per atom. The total magnetization is 0.00 Bohr magnetons per cell.

***

# 2
DFT (GGA-PBE) results for an optimized crystal structure of Ni3AuN.

a = 7.0044 Å, b = 7.0044 Å, c = 4.8208 Å
α = 90.01°, β = 90.01°, γ = 102.48°
Atoms (fractional coordinates):
Ni: 0.0477 0.1867 0.0811
Ni: 0.0704 0.6889 0.4143
Ni: 0.1749 0.5531 0.9109
Ni: 0.1867 0.0477 0.5811
Ni: 0.3111 0.9296 0.0857
Ni: 0.4469 0.8251 0.5891
Ni: 0.5531 0.1749 0.4109
Ni: 0.6889 0.0704 0.9143
Ni: 0.8133 0.9523 0.4189
Ni: 0.8251 0.4469 0.0891
Ni: 0.9296 0.3111 0.5857
Ni: 0.9523 0.8133 0.9189
Au: 0.2951 0.4291 0.4104
Au: 0.4291 0.2951 0.9104
Au: 0.5709 0.7049 0.0896
Au: 0.7049 0.5709 0.5896
N: 0.0693 0.9307 0.2500
N: 0.2082 0.7918 0.7500
N: 0.7918 0.2082 0.2500
N: 0.9307 0.0693 0.7500

Output
For the total energy, the calculation gives -5.669 eV per atom. The total magnetization is 0.00 Bohr magnetons per cell.

***

# 3
DFT (GGA-PBE) results for an optimized crystal structure of Ni3AuN.

a = 7.4386 Å, b = 5.0455 Å, c = 6.8670 Å
α = 90.00°, β = 109.09°, γ = 90.00°
Atoms (fractional coordinates):
Ni: 0.0524 0.0646 0.3558
Ni: 0.0524 0.4354 0.8558
Ni: 0.1662 0.5683 0.5281
Ni: 0.1662 0.9317 0.0281
Ni: 0.3054 0.1795 0.7696
Ni: 0.3054 0.3205 0.2696
Ni: 0.6946 0.6795 0.7304
Ni: 0.6946 0.8205 0.2304
Ni: 0.8338 0.0683 0.9719
Ni: 0.8338 0.4317 0.4719
Ni: 0.9476 0.5646 0.1442
Ni: 0.9476 0.9354 0.6442
Au: 0.4177 0.7136 0.8822
Au: 0.4177 0.7864 0.3822
Au: 0.5823 0.2136 0.6178
Au: 0.5823 0.2864 0.1178
N: 0.0680 0.2429 0.1106
N: 0.0680 0.2571 0.6106
N: 0.9320 0.7429 0.3894
N: 0.9320 0.7571 0.8894

Output
For the total energy, the calculation gives -5.605 eV per atom. The total magnetization is 0.00 Bohr magnetons per cell.

***

# 4
DFT (GGA-PBE) results for an optimized crystal structure of Ni3AuN.

a = 7.1078 Å, b = 7.1078 Å, c = 7.1078 Å
α = 60.00°, β = 60.00°, γ = 60.00°
Atoms (fractional coordinates):
Ni: 0.0591 0.0591 0.6909
Ni: 0.0591 0.6909 0.0591
Ni: 0.0591 0.6909 0.6909
Ni: 0.3091 0.3091 0.9409
Ni: 0.3091 0.9409 0.3091
Ni: 0.3091 0.9409 0.9409
Ni: 0.6909 0.0591 0.0591
Ni: 0.6909 0.0591 0.6909
Ni: 0.6909 0.6909 0.0591
Ni: 0.9409 0.3091 0.3091
Ni: 0.9409 0.3091 0.9409
Ni: 0.9409 0.9409 0.3091
Au: 0.0000 0.5000 0.5000
Au: 0.5000 0.0000 0.5000
Au: 0.5000 0.5000 0.0000
Au: 0.5000 0.5000 0.5000
N: 0.0000 0.0000 0.0000
N: 0.0000 0.0000 0.5000
N: 0.0000 0.5000 0.0000
N: 0.5000 0.0000 0.0000

Output
For the total energy, the calculation gives -5.708 eV per atom. The total magnetization is 0.00 Bohr magnetons per cell.

***

# 5
DFT (GGA-PBE) results for an optimized crystal structure of Ni3AuN.

a = 5.5308 Å, b = 5.5308 Å, c = 5.5308 Å
α = 127.63°, β = 102.48°, γ = 99.98°
Atoms (fractional coordinates):
Ni: 0.0000 0.0000 0.5000
Ni: 0.0000 0.5000 0.0000
Ni: 0.2239 0.1477 0.0762
Ni: 0.4285 0.8523 0.5762
Ni: 0.5715 0.1477 0.4238
Ni: 0.7761 0.8523 0.9238
Au: 0.0000 0.5000 0.5000
Au: 0.5000 0.5000 0.0000
N: 0.2012 0.9512 0.2500
N: 0.7988 0.0488 0.7500

Output
For the total energy, the calculation gives -5.522 eV per atom. The total magnetization is 0.00 Bohr magnetons per cell.

***

# 6
DFT (GGA-PBE) results for an optimized crystal structure of Ni3AuN.

a = 6.2930 Å, b = 6.2930 Å, c = 6.2930 Å
α = 133.42°, β = 133.42°, γ = 68.00°
Atoms (fractional coordinates):
Ni: 0.1771 0.1771 0.0000
Ni: 0.3500 0.6142 0.7358
Ni: 0.3858 0.1217 0.7358
Ni: 0.3858 0.6500 0.2642
Ni: 0.8229 0.8229 0.0000
Ni: 0.8783 0.6142 0.2642
Au: 0.6178 0.1178 0.5000
Au: 0.8822 0.3822 0.5000
N: 0.2500 0.7500 0.5000
N: 0.5000 0.5000 0.0000

Output
For the total energy, the calculation gives -5.407 eV per atom. The total magnetization is 0.00 Bohr magnetons per cell.

***

# 7
DFT (GGA-PBE) results for an optimized crystal structure of Ni4AuN.

a = 6.3197 Å, b = 6.3197 Å, c = 5.1951 Å
α = 105.35°, β = 105.35°, γ = 43.61°
Atoms (fractional coordinates):
Ni: 0.0105 0.1885 0.4369
Ni: 0.1885 0.0105 0.9369
Ni: 0.2137 0.3759 0.8422
Ni: 0.3759 0.2137 0.3422
Ni: 0.6241 0.7863 0.6578
Ni: 0.7863 0.6241 0.1578
Ni: 0.8115 0.9895 0.0631
Ni: 0.9895 0.8115 0.5631
Au: 0.3915 0.6085 0.2500
Au: 0.6085 0.3915 0.7500
N: 0.0000 0.5000 0.5000
N: 0.5000 0.0000 0.0000

Output
For the total energy, the calculation gives -5.746 eV per atom. The value obtained for the energy relative to the lowest polymorph listed for this composition is 0.000 kcal/mol of atoms. The total magnetization is 0.00 Bohr magnetons per cell.

***

# 8
DFT (GGA-PBE) results for an optimized crystal structure of Ni3AuN.

a = 3.5971 Å, b = 3.5971 Å, c = 6.1518 Å
α = 90.00°, β = 90.00°, γ = 90.00°
Atoms (fractional coordinates):
Ni: 0.0000 0.0000 0.0000
Ni: 0.0000 0.5000 0.7296
Ni: 0.5000 0.0000 0.7296
Au: 0.0000 0.0000 0.3984
N: 0.5000 0.5000 0.7368

Output
For the total energy, the calculation gives -5.237 eV per atom. The total magnetization is 1.18 Bohr magnetons per cell.